1.
A plane-wave DFT calculation with GGA-PBE was carried out for a geometry-optimized Nd2Sm4Tl structure.

extended XYZ file:
```
14
Lattice="-2.829 2.275 -10.275 5.266 -3.395 -2.202 -8.793 -1.953 1.989" Properties=species:S:1:pos:R:3 pbc="T T T"
Nd 1.609 -2.970 -1.578
Nd -7.965 -0.102 -8.910
Nd -4.151 -2.749 -5.722
Nd -2.206 -0.323 -4.766
Sm 1.466 -1.383 -9.382
Sm -4.403 -1.128 -8.814
Sm -6.493 0.133 -5.743
Sm -1.165 0.313 -8.275
Sm -5.191 -3.386 -2.213
Sm 0.137 -3.205 -4.745
Sm -1.954 -1.944 -1.674
Sm -7.822 -1.690 -1.106
Tl 0.000 0.000 0.000
Tl 1.218 -0.560 -6.238
```

Summary:
**Space-group type**: No. 14
**Excess energy over the best structure of this formula in the dataset**: 0 meV per atom
**DFT total energy**: -4.41 eV per atom
**Total moment**: 0.00 μB per atom
**Energy of formation from the pure elements**: -0.01 eV/atom



2.
A plane-wave DFT calculation with GGA-PBE was carried out for a geometry-optimized NdSm5Tl5 structure.

extended XYZ file:
```
11
Lattice="6.063 0.000 0.000 -3.031 8.170 1.030 0.000 -1.932 6.938" Properties=species:S:1:pos:R:3 pbc="T T T"
Nd 0.000 0.000 0.000
Sm 3.031 1.509 3.090
Sm 3.031 1.153 6.713
Sm 0.000 -0.966 3.469
Sm 0.000 5.085 1.255
Sm 0.000 4.729 4.878
Tl 3.031 4.807 2.514
Tl 3.031 4.050 5.629
Tl 3.031 0.000 0.000
Tl 0.000 2.188 2.339
Tl 0.000 1.431 5.453
```

Summary:
**Space-group type**: No. 12
**DFT total energy**: -3.79 eV per atom
**Total moment**: 0.00 μB per atom
**Energy of formation from the pure elements**: -0.13 eV/atom



3.
A plane-wave DFT calculation with GGA-PBE was carried out for a geometry-optimized Nd4Sm5Tl4 structure.

extended XYZ file:
```
13
Lattice="-5.129 -0.365 -1.058 -3.013 -7.648 4.217 -4.400 4.545 6.733" Properties=species:S:1:pos:R:3 pbc="T T T"
Nd -9.211 -0.784 5.844
Nd -6.142 -0.264 3.814
Nd -3.331 -2.683 4.049
Nd -6.400 -3.203 6.078
Sm -9.411 -3.981 7.919
Sm -3.131 0.514 1.974
Sm 0.000 0.000 0.000
Sm -5.611 -5.271 2.969
Sm -6.931 1.803 6.924
Tl -5.503 -2.335 1.434
Tl -7.038 -1.133 8.459
Tl -8.713 -5.503 5.058
Tl -3.829 2.035 4.835
```

Summary:
**Space-group type**: No. 87
**DFT total energy**: -4.26 eV per atom
**Total moment**: 0.00 μB per atom
**Energy of formation from the pure elements**: -0.25 eV/atom



4.
A plane-wave DFT calculation with GGA-PBE was carried out for a geometry-optimized Nd2SmTl structure.

extended XYZ file:
```
4
Lattice="5.007 0.000 0.000 0.000 4.965 0.000 0.000 0.000 4.965" Properties=species:S:1:pos:R:3 pbc="T T T"
Tl 2.504 0.000 0.000
Nd 0.000 0.000 2.482
Nd 0.000 2.482 0.000
Sm 2.504 2.482 2.482
```

Summary:
**Space-group type**: No. 123
**Excess energy over the best structure of this formula in the dataset**: 0 meV per atom
**DFT total energy**: -4.36 eV per atom
**Total moment**: 0.07 μB per atom
**Energy of formation from the pure elements**: -0.20 eV/atom



5.
A plane-wave DFT calculation with GGA-PBE was carried out for a geometry-optimized Nd3Sm5Tl structure.

extended XYZ file:
```
18
Lattice="-4.875 0.458 -5.991 6.697 -0.120 -3.873 -0.490 -11.434 -0.442" Properties=species:S:1:pos:R:3 pbc="T T T"
Nd 1.166 -8.340 -8.653
Nd 0.967 -5.471 -6.778
Nd 0.000 0.000 0.000
Nd -0.245 -5.717 -0.221
Nd 0.165 -2.756 -1.653
Nd 0.364 -5.625 -3.528
Sm 3.306 -3.691 -2.526
Sm 3.755 0.027 -4.412
Sm 0.743 -11.158 -7.110
Sm 0.808 -2.578 -5.122
Sm 0.523 -8.518 -5.184
Sm 0.588 0.062 -3.196
Sm -2.541 -3.398 -3.595
Sm -1.933 0.311 -5.452
Sm -1.975 -7.406 -7.780
Sm 3.872 -7.698 -6.710
Tl -0.076 -8.637 -1.943
Tl 1.407 -2.459 -8.362
```

Summary:
**Space-group type**: No. 12
**DFT total energy**: -4.10 eV per atom
**Total moment**: 0.00 μB per atom
**Energy of formation from the pure elements**: 0.38 eV/atom



6.
A plane-wave DFT calculation with GGA-PBE was carried out for a geometry-optimized Nd6SmTl2 structure.

extended XYZ file:
```
9
Lattice="-3.217 -2.122 -0.118 0.770 -4.934 4.764 -5.473 4.242 9.958" Properties=species:S:1:pos:R:3 pbc="T T T"
Nd -2.503 -3.407 3.560
Nd -5.416 0.594 11.044
Nd -3.592 -2.093 9.626
Nd -4.532 -4.000 6.552
Nd -3.387 1.186 8.052
Nd -4.327 -0.721 4.978
Sm 0.000 0.000 0.000
Tl -2.227 -0.255 2.322
Tl -5.693 -2.558 12.282
```

Summary:
**Space-group type**: No. 12
**Excess energy over the best structure of this formula in the dataset**: 3 meV per atom
**DFT total energy**: -4.38 eV per atom
**Total moment**: 0.00 μB per atom
**Energy of formation from the pure elements**: -0.15 eV/atom